Entry 1:
Below is a relaxed structure of CePrNdS3, with properties calculated at the GGA-PBE level.

Results
energy relative to the elements, uncorrected: -1896 meV/atom
density: 6.0 Mg/m³

Cell lengths 7.067, 3.969, 10.605 Å; angles 90.00, 102.46, 90.00 degrees
Space group P2_1/m (No. 11)
Symmetry-distinct sites (fractional):
Ce (0.125, 0.250, 0.128) x2
Pr (0.348, 0.250, 0.804) x2
Nd (0.235, 0.750, 0.446) x2
S (0.057, 0.750, 0.661) x2
S (0.284, 0.750, 0.994) x2
S (0.453, 0.250, 0.335) x2

***

Entry 2:
Below is a relaxed structure of CePr3Nd2S6, with properties calculated at the GGA-PBE level.

Results
energy relative to the elements, uncorrected: -2032 meV/atom
density: 6.0 Mg/m³

Cell lengths 7.058, 12.242, 7.075 Å; angles 90.00, 109.53, 90.00 degrees
Space group C2/m (No. 12)
Symmetry-distinct sites (fractional):
Ce (0.000, 0.000, 0.000) x2
Pr (0.000, 0.170, 0.500) x4
Pr (0.000, 0.500, 0.500) x2
Nd (0.000, 0.333, 0.000) x4
S (0.247, 0.165, 0.245) x8
S (0.248, 0.000, 0.753) x4

***

Entry 3:
Below is a relaxed structure of CePr3Nd4S8, with properties calculated at the GGA-PBE level.

Results
energy relative to the elements, uncorrected: -2027 meV/atom
density: 6.0 Mg/m³

Cell lengths 8.1547, 8.1547, 19.9842 Å; angles 90.00, 90.00, 120.00 degrees
Space group R-3m (No. 166, hexagonal axes)
Symmetry-distinct sites (fractional):
Ce (0.0000, 0.0000, 0.0000) x3
Pr (0.0000, 0.5000, 0.0000) x9
Nd (0.0000, 0.0000, 0.5000) x3
Nd (0.0000, 0.5000, 0.5000) x9
S (0.0000, 0.0000, 0.2489) x6
S (0.0040, 0.5020, 0.7501) x18

***

Entry 4:
Below is a relaxed structure of CePr2NdS4, with properties calculated at the GGA-PBE level.

Results
energy relative to the elements, uncorrected: -2032 meV/atom
density: 6.0 Mg/m³

Cell lengths 7.067, 4.067, 7.068 Å; angles 90.00, 109.38, 90.00 degrees
Space group P2/m (No. 10)
Symmetry-distinct sites (fractional):
Ce (0.000, 0.000, 0.000) x1
Pr (0.000, 0.500, 0.500) x1
Pr (0.500, 0.000, 0.500) x1
Nd (0.500, 0.500, 0.000) x1
S (0.246, 0.500, 0.244) x2
S (0.250, 0.000, 0.755) x2